[1]
# SbHIrPd2 PBE optimized geometry
# Magnetization: 0.0 μB/f.u.
# Total DFT energy (no corrections): -0.1990 Ha/atom
data_SbHIrPd2
_space_group_name_H-M_alt 'P 4/m m m'
_space_group_IT_number 123
_space_group_name_Hall '-P 4 2'
_cell_length_a 4.0762
_cell_length_b 4.0762
_cell_length_c 4.1158
_cell_angle_alpha 90.00
_cell_angle_beta 90.00
_cell_angle_gamma 90.00
loop_
_atom_site_label
_atom_site_fract_x
_atom_site_fract_y
_atom_site_fract_z
Sb1 0.0000 0.0000 0.0000
H1 0.5000 0.5000 0.5000
Ir1 0.5000 0.5000 0.0000
Pd1 0.0000 0.5000 0.5000


[2]
# Sc2HIrPd PBE optimized geometry
# E above lowest polymorph: 0.014 eV per atom
# Magnetization: 0.0 μB/f.u.
data_Sc2HIrPd
_space_group_name_H-M_alt 'P 4/m m m'
_space_group_IT_number 123
_space_group_name_Hall '-P 4 2'
_cell_length_a 4.5260
_cell_length_b 4.5260
_cell_length_c 3.5483
_cell_angle_alpha 90.00
_cell_angle_beta 90.00
_cell_angle_gamma 90.00
loop_
_atom_site_label
_atom_site_fract_x
_atom_site_fract_y
_atom_site_fract_z
Sc1 0.0000 0.5000 0.0000
H1 0.0000 0.0000 0.0000
Ir1 0.5000 0.5000 0.5000
Pd1 0.0000 0.0000 0.5000


[3]
# ScHIrPd2 PBE optimized geometry
# E above lowest polymorph: 0.000 eV per atom
# Magnetization: 0.0 μB/f.u.
data_ScHIrPd2
_space_group_name_H-M_alt 'P 4/m m m'
_space_group_IT_number 123
_space_group_name_Hall '-P 4 2'
_cell_length_a 4.0420
_cell_length_b 4.0420
_cell_length_c 4.0188
_cell_angle_alpha 90.00
_cell_angle_beta 90.00
_cell_angle_gamma 90.00
loop_
_atom_site_label
_atom_site_fract_x
_atom_site_fract_y
_atom_site_fract_z
Sc1 0.0000 0.0000 0.0000
H1 0.5000 0.5000 0.5000
Ir1 0.5000 0.5000 0.0000
Pd1 0.0000 0.5000 0.5000


[4]
# ScH6IrPd2 PBE optimized geometry
# Magnetization: 0.0 μB/f.u.
# Total DFT energy (no corrections): -0.1766 Ha/atom
data_ScH6IrPd2
_space_group_name_H-M_alt 'P 1 21/c 1'
_space_group_IT_number 14
_space_group_name_Hall '-P 2ybc'
_cell_length_a 4.5819
_cell_length_b 4.5746
_cell_length_c 9.2810
_cell_angle_alpha 90.00
_cell_angle_beta 115.09
_cell_angle_gamma 90.00
loop_
_atom_site_label
_atom_site_fract_x
_atom_site_fract_y
_atom_site_fract_z
Sc1 0.0000 0.0000 0.0000
H1 0.2071 0.0843 0.3028
H2 0.2277 0.6063 0.0686
H3 0.4851 0.1647 0.0776
Ir1 0.5000 0.0000 0.5000
Pd1 0.2108 0.0273 0.7512


[5]
# ScHIr2Pd PBE optimized geometry
# E above lowest polymorph: 0.004 eV per atom
# Magnetization: 0.0 μB/f.u.
data_ScHIr2Pd
_space_group_name_H-M_alt 'P 4/m m m'
_space_group_IT_number 123
_space_group_name_Hall '-P 4 2'
_cell_length_a 4.0052
_cell_length_b 4.0052
_cell_length_c 4.0278
_cell_angle_alpha 90.00
_cell_angle_beta 90.00
_cell_angle_gamma 90.00
loop_
_atom_site_label
_atom_site_fract_x
_atom_site_fract_y
_atom_site_fract_z
Sc1 0.0000 0.0000 0.0000
H1 0.5000 0.5000 0.5000
Ir1 0.0000 0.5000 0.5000
Pd1 0.5000 0.5000 0.0000


[6]
# ScHIr2Pd PBE optimized geometry
# E above lowest polymorph: 0.000 eV per atom
# Magnetization: 0.0 μB/f.u.
data_ScHIr2Pd
_space_group_name_H-M_alt 'P 4/m m m'
_space_group_IT_number 123
_space_group_name_Hall '-P 4 2'
_cell_length_a 3.9526
_cell_length_b 3.9526
_cell_length_c 4.1197
_cell_angle_alpha 90.00
_cell_angle_beta 90.00
_cell_angle_gamma 90.00
loop_
_atom_site_label
_atom_site_fract_x
_atom_site_fract_y
_atom_site_fract_z
Sc1 0.0000 0.0000 0.0000
H1 0.0000 0.0000 0.5000
Ir1 0.0000 0.5000 0.5000
Pd1 0.5000 0.5000 0.0000